BAsRu2W after structural relaxation, computed with PBE.

Computed properties:
Symmetry: No. 123
ρ (g cm⁻³): 7.31
ΔE_f (meV/atom): 2218.8

a b c (Å): 4.729 4.795 4.729
angles (deg): 90.00 90.00 90.00
Site moments in Bohr magnetons follow the coordinates.
Fractional positions:
Ru 0.000 0.000 0.500  0.40
Ru 0.500 0.000 0.000  0.25
As 0.000 0.500 0.000  0.01
W 0.000 0.000 0.000  -0.06
B 0.500 0.500 0.500  -0.01

Y2BAsRu after structural relaxation, computed with PBE.

Computed properties:
Symmetry: No. 123
ρ (g cm⁻³): 4.79
ΔE_f (meV/atom): 469.9

a b c (Å): 5.275 4.544 5.275
angles (deg): 90.00 90.00 90.00
Fractional positions:
Ru 0.000 0.000 0.000
Y 0.000 0.000 0.500
Y 0.500 0.000 0.000
B 0.500 0.500 0.500
As 0.000 0.500 0.000

BAsS3 after structural relaxation, computed with PBE.

Computed properties:
Raw formation energy (eV per atom): 1.409
Relative energy among the computed polymorphs (eV/f.u.): 7.815
Symmetry: No. 221
ρ (g cm⁻³): 2.80

a b c (Å): 4.760 4.760 4.760
angles (deg): 90.00 90.00 90.00
Fractional positions:
B 0.500 0.500 0.500
As 0.000 0.000 0.000
S 0.000 0.000 0.500
S 0.500 0.000 0.000
S 0.000 0.500 0.000

BAsS2 after structural relaxation, computed with PBE.

Computed properties:
Raw formation energy (eV per atom): 1.224
Relative energy among the computed polymorphs (eV/f.u.): 3.523
Symmetry: No. 225
ρ (g cm⁻³): 4.13

a b c (Å): 4.401 4.401 4.401
angles (deg): 60.00 60.00 60.00
Fractional positions:
S 0.750 0.750 0.750
S 0.250 0.250 0.250
B 0.000 0.000 0.000
As 0.500 0.500 0.500

BAsS4 after structural relaxation, computed with PBE.

Computed properties:
Raw formation energy (eV per atom): 0.133
Symmetry: No. 15
ρ (g cm⁻³): 2.56

a b c (Å): 5.983 5.983 8.220
angles (deg): 79.47 79.47 75.61
Fractional positions:
S 0.847 0.643 0.834
S 0.643 0.847 0.334
S 0.251 0.776 0.454
S 0.357 0.153 0.666
S 0.153 0.357 0.166
S 0.749 0.224 0.546
S 0.224 0.749 0.046
S 0.776 0.251 0.954
B 0.000 0.500 0.000
B 0.500 0.000 0.500
As 0.031 0.969 0.250
As 0.969 0.031 0.750

BAs2S after structural relaxation, computed with PBE.

Computed properties:
Raw formation energy (eV per atom): 1.161
Relative energy among the computed polymorphs (eV/f.u.): 2.928
Symmetry: No. 225
ρ (g cm⁻³): 5.23

a b c (Å): 4.424 4.424 4.424
angles (deg): 60.00 60.00 60.00
Fractional positions:
As 0.750 0.750 0.750
As 0.250 0.250 0.250
B 0.000 0.000 0.000
S 0.500 0.500 0.500